[1]
Material: UAlHgO6
Method: DFT, PBE
State: optimized geometry

Cell and atoms, written as POSCAR:
```
UAlHgO6
1.0
-3.210 -3.674 2.142
1.696 -5.018 0.574
1.728 1.086 4.440
U Al Hg O
1 1 1 6
Direct
0.667 0.667 0.500
0.333 0.333 0.500
0.000 0.000 0.000
0.019 0.354 0.285
0.354 0.019 0.715
0.628 0.353 0.715
0.020 0.627 0.715
0.353 0.628 0.285
0.627 0.020 0.285
```

## Properties
Energy relative to the elements, uncorrected: -2.065 eV per atom

---

[2]
Material: LaTeIr2
Method: DFT, PBE
State: optimized geometry

Cell and atoms, written as POSCAR:
```
LaTeIr2
1.0
4.924 0.000 0.000
2.462 4.264 0.000
2.462 1.421 4.020
Ir La Te
2 1 1
Direct
0.000 0.000 0.000
0.750 0.750 0.750
0.500 0.500 0.500
0.250 0.250 0.250
```

## Properties
Energy relative to the elements, uncorrected: 0.193 eV per atom

---

Quick rundown of magnetic moment, same order as above: 0.0, 0.0 μB/cell